VASP calculation (PBE) on an optimized crystal structure of Pb2ClO.

Properties
Magnetic moment, Bohr magnetons per cell: 0.00

Structure (CIF):
```
data_Pb2ClO
_chemical_formula_sum 'Pb16 Cl8 O8'
_cell_length_a 7.220
_cell_length_b 21.108
_cell_length_c 5.875
_cell_angle_alpha 90.00
_cell_angle_beta 115.88
_cell_angle_gamma 90.00
_symmetry_space_group_name_H-M 'C 1 2/c 1'
_symmetry_Int_Tables_number 15
loop_
_symmetry_equiv_pos_as_xyz
'x,y,z'
'-x,-y,-z'
'-x,y,-z+1/2'
'x,-y,z+1/2'
'x+1/2,y+1/2,z'
'-x+1/2,-y+1/2,-z'
'-x+1/2,y+1/2,-z+1/2'
'x+1/2,-y+1/2,z+1/2'
loop_
_atom_site_label
_atom_site_type_symbol
_atom_site_fract_x
_atom_site_fract_y
_atom_site_fract_z
Pb1 Pb 0.195 0.184 0.141
Pb2 Pb 0.196 0.063 0.623
Cl1 Cl 0.000 0.298 0.250
Cl2 Cl 0.000 0.427 0.750
O1 O 0.000 0.004 0.250
O2 O 0.000 0.135 0.750
```

VASP calculation (PBE) on an optimized crystal structure of PbCl3O.

Properties
Magnetic moment, Bohr magnetons per cell: 2.15

Structure (CIF):
```
data_PbCl3O
_chemical_formula_sum 'Pb1 Cl3 O1'
_cell_length_a 5.413
_cell_length_b 5.413
_cell_length_c 5.413
_cell_angle_alpha 90.00
_cell_angle_beta 90.00
_cell_angle_gamma 90.00
_symmetry_space_group_name_H-M 'P m -3 m'
_symmetry_Int_Tables_number 221
_symmetry_space_group_name_Hall '-P 4 2 3'
loop_
_atom_site_label
_atom_site_type_symbol
_atom_site_fract_x
_atom_site_fract_y
_atom_site_fract_z
Pb1 Pb 0.000 0.000 0.000
Cl1 Cl 0.000 0.000 0.500
O1 O 0.500 0.500 0.500
```

VASP calculation (PBE) on an optimized crystal structure of Pb13Cl6O10.

Properties
Magnetic moment, Bohr magnetons per cell: 0.00

Structure (CIF):
```
data_Pb13Cl6O10
_chemical_formula_sum 'Pb52 Cl24 O40'
_cell_length_a 16.563
_cell_length_b 7.270
_cell_length_c 24.381
_cell_angle_alpha 90.00
_cell_angle_beta 98.10
_cell_angle_gamma 90.00
_symmetry_space_group_name_H-M 'C 1 2/c 1'
_symmetry_Int_Tables_number 15
loop_
_symmetry_equiv_pos_as_xyz
'x,y,z'
'-x,-y,-z'
'-x,y,-z+1/2'
'x,-y,z+1/2'
'x+1/2,y+1/2,z'
'-x+1/2,-y+1/2,-z'
'-x+1/2,y+1/2,-z+1/2'
'x+1/2,-y+1/2,z+1/2'
loop_
_atom_site_label
_atom_site_type_symbol
_atom_site_fract_x
_atom_site_fract_y
_atom_site_fract_z
Pb1 Pb 0.000 0.228 0.250
Pb2 Pb 0.047 0.241 0.011
Pb3 Pb 0.081 0.074 0.632
Pb4 Pb 0.106 0.212 0.793
Pb5 Pb 0.138 0.082 0.419
Pb6 Pb 0.175 0.433 0.150
Pb7 Pb 0.233 0.397 0.938
Cl1 Cl 0.031 0.458 0.861
Cl2 Cl 0.162 0.347 0.545
Cl3 Cl 0.177 0.164 0.245
O1 O 0.011 0.008 0.942
O2 O 0.025 0.011 0.318
O3 O 0.141 0.189 0.097
O4 O 0.172 0.153 0.982
O5 O 0.196 0.143 0.866
```

VASP calculation (PBE) on an optimized crystal structure of Pb2ClO2.

Properties
Magnetic moment, Bohr magnetons per cell: 2.00

Structure (CIF):
```
data_Pb2ClO2
_chemical_formula_sum 'Pb4 Cl2 O4'
_cell_length_a 7.623
_cell_length_b 7.623
_cell_length_c 3.311
_cell_angle_alpha 90.00
_cell_angle_beta 90.00
_cell_angle_gamma 90.00
_symmetry_space_group_name_H-M 'P 4/m b m'
_symmetry_Int_Tables_number 127
_symmetry_space_group_name_Hall '-P 4 2ab'
loop_
_atom_site_label
_atom_site_type_symbol
_atom_site_fract_x
_atom_site_fract_y
_atom_site_fract_z
Pb1 Pb 0.151 0.349 0.000
Cl1 Cl 0.000 0.000 0.500
O1 O 0.101 0.601 0.500
```

| no. | E (eV/atom) | volume (Å³/atom) | N(E_F) (states/eV per cell) |
| --- | --- | --- | --- |
| 1 | -4.496 | 25.2 | 1.351 |
| 2 | -2.771 | 31.7 | 14.758 |
| 3 | -4.942 | 25.1 | 0.000 |
| 4 | -4.473 | 19.2 | 0.000 |